1.
KSn3Bi3: optimized geometry, GGA-PBE.

Output
- E_form (meV/atom) = 48
- magnetic moment (μB/f.u.) = 0.000

Lattice parameters (Å, degrees): 8.643 8.643 8.643 90.00 90.00 90.00
Fractional coordinates of all 14 atoms:
K 0.000 0.000 0.000
K 0.500 0.500 0.500
Sn 0.000 0.250 0.500
Sn 0.000 0.750 0.500
Sn 0.250 0.500 0.000
Sn 0.500 0.000 0.250
Sn 0.500 0.000 0.750
Sn 0.750 0.500 0.000
Bi 0.000 0.500 0.250
Bi 0.000 0.500 0.750
Bi 0.250 0.000 0.500
Bi 0.500 0.250 0.000
Bi 0.500 0.750 0.000
Bi 0.750 0.000 0.500

2.
K2SnBi2: optimized geometry, GGA-PBE.

Output
- E_form (meV/atom) = -259
- magnetic moment (μB/f.u.) = 0.000

Lattice parameters (Å, degrees): 8.256 8.256 5.689 90.00 90.00 90.00
Fractional coordinates of all 10 atoms:
K 0.172 0.328 0.000
K 0.328 0.828 0.000
K 0.672 0.172 0.000
K 0.828 0.672 0.000
Sn 0.000 0.000 0.500
Sn 0.500 0.500 0.500
Bi 0.132 0.632 0.500
Bi 0.368 0.132 0.500
Bi 0.632 0.868 0.500
Bi 0.868 0.368 0.500

3.
K2SnBi: optimized geometry, GGA-PBE.

Output
- E_form (meV/atom) = -141
- magnetic moment (μB/f.u.) = 0.000

Lattice parameters (Å, degrees): 6.873 6.873 6.018 115.81 115.81 49.53
Fractional coordinates of all 4 atoms:
K 0.000 0.000 0.000
K 0.633 0.633 0.630
Sn 0.316 0.316 0.076
Bi 0.317 0.317 0.575

4.
K3Sn2Bi5: optimized geometry, GGA-PBE.

Output
- E_form (meV/atom) = -159
- magnetic moment (μB/f.u.) = 0.000

Lattice parameters (Å, degrees): 11.315 11.315 11.315 125.30 72.64 136.09
Fractional coordinates of all 20 atoms:
K 0.153 0.738 0.892
K 0.250 0.250 0.000
K 0.347 0.238 0.585
K 0.653 0.762 0.415
K 0.750 0.750 0.000
K 0.847 0.262 0.108
Sn 0.143 0.091 0.234
Sn 0.357 0.591 0.948
Sn 0.643 0.409 0.052
Sn 0.857 0.909 0.766
Bi 0.001 0.750 0.251
Bi 0.122 0.382 0.505
Bi 0.250 0.750 0.500
Bi 0.378 0.882 0.260
Bi 0.499 0.750 0.749
Bi 0.501 0.250 0.251
Bi 0.622 0.118 0.740
Bi 0.750 0.250 0.500
Bi 0.878 0.618 0.495
Bi 0.999 0.250 0.749

5.
KSn4Bi: optimized geometry, GGA-PBE.

Output
- E_form (meV/atom) = -4
- magnetic moment (μB/f.u.) = 0.000

Lattice parameters (Å, degrees): 6.391 6.391 6.391 60.00 60.00 60.00
Fractional coordinates of all 6 atoms:
K 0.000 0.000 0.000
Sn 0.376 0.376 0.376
Sn 0.376 0.376 0.873
Sn 0.376 0.873 0.376
Sn 0.873 0.376 0.376
Bi 0.750 0.750 0.750

6.
K2SnBi2: optimized geometry, GGA-PBE.

Output
- E_form (meV/atom) = -299
- magnetic moment (μB/f.u.) = 0.000

Lattice parameters (Å, degrees): 7.059 7.059 11.667 114.40 114.40 48.45
Fractional coordinates of all 10 atoms:
K 0.004 0.004 0.176
K 0.170 0.170 0.594
K 0.830 0.830 0.406
K 0.996 0.996 0.824
Sn 0.285 0.285 0.149
Sn 0.715 0.715 0.851
Bi 0.361 0.361 0.935
Bi 0.474 0.474 0.618
Bi 0.526 0.526 0.382
Bi 0.639 0.639 0.065

7.
K3SnBi: optimized geometry, GGA-PBE.

Output
- E_form (meV/atom) = 190
- magnetic moment (μB/f.u.) = 2.000

Lattice parameters (Å, degrees): 6.761 6.761 6.761 90.00 90.00 90.00
Fractional coordinates of all 5 atoms:
K 0.000 0.000 0.500
K 0.000 0.500 0.000
K 0.500 0.000 0.000
Sn 0.500 0.500 0.500
Bi 0.000 0.000 0.000

8.
KSnBi4: optimized geometry, GGA-PBE.

Output
- E_form (meV/atom) = 38
- magnetic moment (μB/f.u.) = 0.000

Lattice parameters (Å, degrees): 6.664 6.664 6.664 60.00 60.00 60.00
Fractional coordinates of all 6 atoms:
K 0.000 0.000 0.000
Sn 0.750 0.750 0.750
Bi 0.376 0.376 0.376
Bi 0.376 0.376 0.871
Bi 0.376 0.871 0.376
Bi 0.871 0.376 0.376

9.
K5Sn2Bi4: optimized geometry, GGA-PBE.

Output
- E_form (meV/atom) = -193
- magnetic moment (μB/f.u.) = 0.000

Lattice parameters (Å, degrees): 12.277 12.277 10.857 116.21 116.21 17.99
Fractional coordinates of all 11 atoms:
K 0.000 0.000 0.000
K 0.335 0.335 0.068
K 0.335 0.335 0.602
K 0.665 0.665 0.398
K 0.665 0.665 0.932
Sn 0.074 0.074 0.575
Sn 0.926 0.926 0.425
Bi 0.216 0.216 0.716
Bi 0.500 0.500 0.291
Bi 0.500 0.500 0.709
Bi 0.784 0.784 0.284

10.
K2Sn2Bi: optimized geometry, GGA-PBE.

Output
- E_form (meV/atom) = -175
- magnetic moment (μB/f.u.) = 0.000

Lattice parameters (Å, degrees): 6.387 6.387 10.558 102.27 102.27 64.44
Fractional coordinates of all 10 atoms:
K 0.025 0.256 0.161
K 0.256 0.025 0.661
K 0.744 0.975 0.339
K 0.975 0.744 0.839
Sn 0.244 0.470 0.494
Sn 0.470 0.244 0.994
Sn 0.530 0.756 0.006
Sn 0.756 0.530 0.506
Bi 0.388 0.612 0.250
Bi 0.612 0.388 0.750

11.
KSnBi3: optimized geometry, GGA-PBE.

Output
- E_form (meV/atom) = 287
- magnetic moment (μB/f.u.) = 0.000

Lattice parameters (Å, degrees): 5.947 5.947 5.947 90.00 90.00 90.00
Fractional coordinates of all 5 atoms:
K 0.000 0.000 0.000
Sn 0.500 0.500 0.500
Bi 0.000 0.500 0.500
Bi 0.500 0.000 0.500
Bi 0.500 0.500 0.000

12.
KSn2Bi: optimized geometry, GGA-PBE.

Output
- E_form (meV/atom) = -132
- magnetic moment (μB/f.u.) = 0.000

Lattice parameters (Å, degrees): 4.281 4.281 7.666 90.00 90.00 90.00
Fractional coordinates of all 4 atoms:
K 0.000 0.000 0.000
Sn 0.500 0.500 0.313
Sn 0.500 0.500 0.687
Bi 0.000 0.000 0.500